No. 1
The following is a DFT calculation (PBE-GGA) of a relaxed structure of BN2Cl.

For the formation energy (no corrections), the calculation gives 1158.0 meV per atom. The calculation puts the raw total energy at -61.6 eV/cell. Its magnetization is 0.0 μB per formula unit.

a = 2.7505 Å, b = 2.7505 Å, c = 16.4534 Å
α = 90.00°, β = 90.00°, γ = 120.00°
Space group R-3m (No. 166, hexagonal axes)
Asymmetric unit:
B 0.0000 0.0000 0.0000 (multiplicity 3)
N 0.0000 0.0000 0.3832 (multiplicity 6)
Cl 0.0000 0.0000 0.5000 (multiplicity 3)

No. 2
The following is a DFT calculation (PBE-GGA) of a relaxed structure of Tb3NdThSc.

The calculation puts the raw total energy at -64.3 eV/cell. Its magnetization is 0.0 μB per formula unit.

a = 7.896 Å, b = 5.031 Å, c = 9.987 Å
α = 90.00°, β = 108.74°, γ = 90.00°
Space group P2_1/m (No. 11)
Asymmetric unit:
Tb 0.177 0.250 0.042 (multiplicity 2)
Tb 0.177 0.250 0.547 (multiplicity 2)
Tb 0.179 0.750 0.291 (multiplicity 2)
Nd 0.175 0.750 0.797 (multiplicity 2)
Th 0.499 0.250 0.376 (multiplicity 2)
Sc 0.499 0.750 0.127 (multiplicity 2)

No. 3
The following is a DFT calculation (PBE-GGA) of a relaxed structure of HfMgInAg.

The calculation puts the raw total energy at -17.6 eV/cell. Its magnetization is 0.0 μB per formula unit.

a = 3.212 Å, b = 3.212 Å, c = 7.963 Å
α = 90.00°, β = 90.00°, γ = 90.00°
Space group P4mm (No. 99)
Asymmetric unit:
Hf 0.000 0.000 0.000 (multiplicity 1)
Mg 0.000 0.000 0.461 (multiplicity 1)
In 0.500 0.500 0.733 (multiplicity 1)
Ag 0.500 0.500 0.244 (multiplicity 1)

No. 4
The following is a DFT calculation (PBE-GGA) of a relaxed structure of CdW2.

The calculation puts the raw total energy at -99.2 eV/cell. Its magnetization is 0.0 μB per formula unit.

a = 5.4063 Å, b = 5.4063 Å, c = 8.8047 Å
α = 90.00°, β = 90.00°, γ = 120.00°
Space group P6_3/mmc (No. 194)
Asymmetric unit:
Cd 0.3333 0.6667 0.0634 (multiplicity 4)
W 0.0000 0.0000 0.0000 (multiplicity 2)
W 0.1671 0.3342 0.7500 (multiplicity 6)

No. 5
The following is a DFT calculation (PBE-GGA) of a relaxed structure of SrMgPb5.

The calculation puts the raw total energy at -22.9 eV/cell. Its magnetization is 0.0 μB per formula unit.

a = 4.887 Å, b = 4.887 Å, c = 9.228 Å
α = 90.00°, β = 90.00°, γ = 90.00°
Space group P4/mmm (No. 123)
Asymmetric unit:
Sr 0.000 0.000 0.000 (multiplicity 1)
Mg 0.500 0.500 0.500 (multiplicity 1)
Pb 0.000 0.500 0.289 (multiplicity 4)
Pb 0.500 0.500 0.000 (multiplicity 1)

No. 6
The following is a DFT calculation (PBE-GGA) of a relaxed structure of TcMo2C4.

The calculation puts the raw total energy at -117.4 eV/cell. Its magnetization is 0.0 μB per formula unit.

a = 3.985 Å, b = 3.985 Å, c = 10.576 Å
α = 90.00°, β = 90.00°, γ = 90.00°
Space group I4/mmm (No. 139)
Asymmetric unit:
Tc 0.000 0.000 0.000 (multiplicity 2)
Mo 0.000 0.000 0.373 (multiplicity 4)
C 0.000 0.000 0.199 (multiplicity 4)
C 0.000 0.500 0.000 (multiplicity 4)

No. 7
The following is a DFT calculation (PBE-GGA) of a relaxed structure of ErScGa2.

The calculation puts the raw total energy at -19.3 eV/cell. Its magnetization is 0.0 μB per formula unit.

a = 3.461 Å, b = 3.461 Å, c = 6.866 Å
α = 90.00°, β = 90.00°, γ = 90.00°
Space group P4/mmm (No. 123)
Asymmetric unit:
Er 0.000 0.000 0.000 (multiplicity 1)
Sc 0.000 0.000 0.500 (multiplicity 1)
Ga 0.500 0.500 0.267 (multiplicity 2)

No. 8
The following is a DFT calculation (PBE-GGA) of a relaxed structure of RbNiPb2.

The calculation puts the raw total energy at -40.6 eV/cell. Its magnetization is 0.0 μB per formula unit.

a = 4.3192 Å, b = 4.3192 Å, c = 28.4252 Å
α = 90.00°, β = 90.00°, γ = 120.00°
Space group R-3m (No. 166, hexagonal axes)
Asymmetric unit:
Rb 0.0000 0.0000 0.0000 (multiplicity 3)
Ni 0.0000 0.0000 0.5000 (multiplicity 3)
Pb 0.0000 0.0000 0.1281 (multiplicity 6)

It is found that the V values, taken in the order of the records, are 36, 188, 82, 56, 220, 84, 82, 153 Å³/f.u..